1.
Computed, not measured: a geometry-optimized LiPr6Ho structure at the PBE level of DFT.

abc: 5.237 5.237 19.773
angles: 90.00 90.00 90.00
Space group I4/mmm (No. 139)
Unique sites:
Li: 0.000 0.000 0.000 [2 per cell]
Pr: 0.000 0.000 0.251 [4 per cell]
Pr: 0.000 0.500 0.119 [8 per cell]
Ho: 0.000 0.000 0.500 [2 per cell]

Values from the calculation:
D(E_F) (states/eV per cell): 26.11
Formation enthalpy at 0 K (eV per atom): 0.082


2.
Computed, not measured: a geometry-optimized Li4PrHo structure at the PBE level of DFT.

abc: 8.351 8.351 8.351
angles: 90.00 90.00 90.00
Space group F-43m (No. 216)
Unique sites:
Li: 0.124 0.124 0.124 [16 per cell]
Pr: 0.000 0.000 0.500 [4 per cell]
Ho: 0.250 0.250 0.750 [4 per cell]

Values from the calculation:
D(E_F) (states/eV per cell): 23.96
Formation enthalpy at 0 K (eV per atom): 0.108


3.
Computed, not measured: a geometry-optimized LiPrHo structure at the PBE level of DFT.

abc: 3.740 3.740 12.394
angles: 90.00 90.00 90.00
Space group I4mm (No. 107)
Unique sites:
Li: 0.000 0.000 0.000 [2 per cell]
Pr: 0.000 0.000 0.660 [2 per cell]
Ho: 0.000 0.000 0.355 [2 per cell]

Values from the calculation:
D(E_F) (states/eV per cell): 7.39
Formation enthalpy at 0 K (eV per atom): 0.081
Excess energy over the best structure of this formula in the dataset (eV per atom): 0.023


4.
Computed, not measured: a geometry-optimized LiPr4Ho structure at the PBE level of DFT.

abc: 3.693 3.693 14.474
angles: 90.00 90.00 90.00
Space group P4/mmm (No. 123)
Unique sites:
Li: 0.000 0.000 0.000 [1 per cell]
Pr: 0.000 0.000 0.326 [2 per cell]
Pr: 0.500 0.500 0.148 [2 per cell]
Ho: 0.500 0.500 0.500 [1 per cell]

Values from the calculation:
D(E_F) (states/eV per cell): 8.50
Formation enthalpy at 0 K (eV per atom): 0.044


5.
Computed, not measured: a geometry-optimized LiPrHo structure at the PBE level of DFT.

abc: 3.5358 3.5358 8.4148
angles: 90.00 90.00 120.00
Space group P3m1 (No. 156)
Unique sites:
Li: 0.0000 0.0000 0.0000 [1 per cell]
Pr: 0.3333 0.6667 0.6637 [1 per cell]
Ho: 0.6667 0.3333 0.3208 [1 per cell]

Values from the calculation:
D(E_F) (states/eV per cell): 3.28
Formation enthalpy at 0 K (eV per atom): 0.107
Excess energy over the best structure of this formula in the dataset (eV per atom): 0.049


6.
Computed, not measured: a geometry-optimized LiPr4Ho4 structure at the PBE level of DFT.

abc: 6.368 7.955 11.556
angles: 90.00 90.00 90.00
Space group I222 (No. 23)
Unique sites:
Li: 0.000 0.000 0.000 [2 per cell]
Pr: 0.000 0.000 0.500 [2 per cell]
Pr: 0.000 0.320 0.000 [4 per cell]
Pr: 0.000 0.500 0.500 [2 per cell]
Ho: 0.236 0.137 0.755 [8 per cell]

Values from the calculation:
D(E_F) (states/eV per cell): 24.90
Formation enthalpy at 0 K (eV per atom): 0.317


7.
Computed, not measured: a geometry-optimized LiPrHo structure at the PBE level of DFT.

abc: 5.202 5.194 12.918
angles: 90.00 90.01 90.00
Space group C2/m (No. 12)
Unique sites:
Li: 0.249 0.000 0.051 [4 per cell]
Pr: 0.250 0.000 0.395 [4 per cell]
Ho: 0.249 0.500 0.207 [4 per cell]

Values from the calculation:
D(E_F) (states/eV per cell): 12.11
Formation enthalpy at 0 K (eV per atom): 0.058
Excess energy over the best structure of this formula in the dataset (eV per atom): 0.000


8.
Computed, not measured: a geometry-optimized LiPr4Ho3S8 structure at the PBE level of DFT.

abc: 7.9120 7.9120 19.8460
angles: 90.00 90.00 120.00
Space group R-3m (No. 166, hexagonal axes)
Unique sites:
Li: 0.0000 0.0000 0.0000 [3 per cell]
Pr: 0.0000 0.0000 0.5000 [3 per cell]
Pr: 0.0000 0.5000 0.5000 [9 per cell]
Ho: 0.0000 0.5000 0.0000 [9 per cell]
S: 0.0000 0.0000 0.2567 [6 per cell]
S: 0.0037 0.5018 0.7423 [18 per cell]

Values from the calculation:
Formation energy without anion corrections (kcal/mol of atoms): -45.202
D(E_F) (states/eV per cell): 23.73


9.
Computed, not measured: a geometry-optimized LiPr3Ho3S8 structure at the PBE level of DFT.

abc: 7.8931 7.8931 19.6371
angles: 90.00 90.00 120.00
Space group R-3m (No. 166, hexagonal axes)
Unique sites:
Li: 0.0000 0.0000 0.0000 [3 per cell]
Pr: 0.0000 0.5000 0.5000 [9 per cell]
Ho: 0.0000 0.5000 0.0000 [9 per cell]
S: 0.0000 0.0000 0.2557 [6 per cell]
S: 0.0007 0.5003 0.7440 [18 per cell]

Values from the calculation:
Formation energy without anion corrections (kcal/mol of atoms): -45.630
D(E_F) (states/eV per cell): 13.25


10.
Computed, not measured: a geometry-optimized LiPr2HoS4 structure at the PBE level of DFT.

abc: 6.867 3.988 6.921
angles: 90.00 109.39 90.00
Space group P2/m (No. 10)
Unique sites:
Li: 0.000 0.000 0.000 [1 per cell]
Pr: 0.000 0.500 0.500 [1 per cell]
Pr: 0.500 0.000 0.500 [1 per cell]
Ho: 0.500 0.500 0.000 [1 per cell]
S: 0.244 0.500 0.231 [2 per cell]
S: 0.254 0.000 0.771 [2 per cell]

Values from the calculation:
Formation energy without anion corrections (kcal/mol of atoms): -44.021
D(E_F) (states/eV per cell): 2.62


11.
Computed, not measured: a geometry-optimized LiPrHo4S8 structure at the PBE level of DFT.

abc: 8.1011 8.1011 19.4461
angles: 90.00 90.00 120.00
Space group R3m (No. 160, hexagonal axes)
Unique sites:
Li: 0.0000 0.0000 0.0000 [3 per cell]
Pr: 0.0000 0.0000 0.6174 [3 per cell]
Ho: 0.0000 0.0000 0.3814 [3 per cell]
Ho: 0.0016 0.5008 0.5015 [9 per cell]
S: 0.0000 0.0000 0.2449 [3 per cell]
S: 0.0000 0.0000 0.7596 [3 per cell]
S: 0.0165 0.5083 0.7576 [9 per cell]
S: 0.1856 0.3713 0.5820 [9 per cell]

Values from the calculation:
Formation energy without anion corrections (kcal/mol of atoms): -43.728
D(E_F) (states/eV per cell): 0.00


12.
Computed, not measured: a geometry-optimized LiPr2HoS5 structure at the PBE level of DFT.

abc: 4.002 16.567 11.950
angles: 90.00 90.00 90.00
Space group Cmc2_1 (No. 36)
Unique sites:
Li: 0.000 0.015 0.000 [4 per cell]
Pr: 0.000 0.375 0.816 [4 per cell]
Pr: 0.000 0.392 0.204 [4 per cell]
Ho: 0.000 0.302 0.521 [4 per cell]
S: 0.000 0.001 0.802 [4 per cell]
S: 0.000 0.138 0.517 [4 per cell]
S: 0.000 0.193 0.865 [4 per cell]
S: 0.000 0.213 0.177 [4 per cell]
S: 0.000 0.452 0.587 [4 per cell]

Values from the calculation:
Formation energy without anion corrections (kcal/mol of atoms): -44.418


13.
Computed, not measured: a geometry-optimized LiPrHo2S4 structure at the PBE level of DFT.

abc: 3.871 13.081 13.436
angles: 90.00 90.00 90.00
Space group Cmcm (No. 63)
Unique sites:
Li: 0.000 0.144 0.250 [4 per cell]
Pr: 0.000 0.126 0.750 [4 per cell]
Ho: 0.000 0.367 0.558 [8 per cell]
S: 0.000 0.000 0.000 [4 per cell]
S: 0.000 0.270 0.122 [8 per cell]
S: 0.000 0.459 0.750 [4 per cell]

Values from the calculation:
Formation energy without anion corrections (kcal/mol of atoms): -42.115
D(E_F) (states/eV per cell): 16.25


14.
Computed, not measured: a geometry-optimized Li2PrHoS4 structure at the PBE level of DFT.

abc: 6.614 3.995 6.926
angles: 90.00 110.43 90.00
Space group P2/m (No. 10)
Unique sites:
Li: 0.000 0.000 0.000 [1 per cell]
Li: 0.000 0.500 0.500 [1 per cell]
Pr: 0.500 0.000 0.500 [1 per cell]
Ho: 0.500 0.500 0.000 [1 per cell]
S: 0.244 0.500 0.237 [2 per cell]
S: 0.249 0.000 0.760 [2 per cell]

Values from the calculation:
Formation energy without anion corrections (kcal/mol of atoms): -41.489
D(E_F) (states/eV per cell): 0.00


15.
Computed, not measured: a geometry-optimized Li2PrHo2Sb2 structure at the PBE level of DFT.

abc: 4.7635 4.7635 26.8814
angles: 90.00 90.00 120.00
Space group R-3m (No. 166, hexagonal axes)
Unique sites:
Li: 0.0000 0.0000 0.0879 [6 per cell]
Pr: 0.0000 0.0000 0.5000 [3 per cell]
Ho: 0.0000 0.0000 0.3685 [6 per cell]
Sb: 0.0000 0.0000 0.2403 [6 per cell]

Values from the calculation:
Formation energy without anion corrections (kcal/mol of atoms): -13.130
D(E_F) (states/eV per cell): 17.58


16.
Computed, not measured: a geometry-optimized LiPrHoSc structure at the PBE level of DFT.

abc: 7.647 7.647 7.647
angles: 90.00 90.00 90.00
Space group F-43m (No. 216)
Unique sites:
Li: 0.000 0.000 0.000 [4 per cell]
Pr: 0.250 0.250 0.250 [4 per cell]
Ho: 0.250 0.250 0.750 [4 per cell]
Sc: 0.000 0.000 0.500 [4 per cell]

Values from the calculation:
D(E_F) (states/eV per cell): 17.29
Formation enthalpy at 0 K (eV per atom): 0.148


17.
Computed, not measured: a geometry-optimized LiPr3Ho2Se6 structure at the PBE level of DFT.

abc: 7.117 12.356 7.278
angles: 90.00 109.15 90.00
Space group C2/m (No. 12)
Unique sites:
Li: 0.000 0.000 0.000 [2 per cell]
Pr: 0.000 0.166 0.500 [4 per cell]
Pr: 0.000 0.500 0.500 [2 per cell]
Ho: 0.000 0.335 0.000 [4 per cell]
Se: 0.240 0.164 0.229 [8 per cell]
Se: 0.250 0.000 0.773 [4 per cell]

Values from the calculation:
Formation energy without anion corrections (kcal/mol of atoms): -40.928
D(E_F) (states/eV per cell): 10.22


18.
Computed, not measured: a geometry-optimized Li2PrHoSe4 structure at the PBE level of DFT.

abc: 6.944 4.147 7.187
angles: 90.00 110.14 90.00
Space group P2/m (No. 10)
Unique sites:
Li: 0.000 0.000 0.000 [1 per cell]
Li: 0.000 0.500 0.500 [1 per cell]
Pr: 0.500 0.000 0.500 [1 per cell]
Ho: 0.500 0.500 0.000 [1 per cell]
Se: 0.241 0.500 0.237 [2 per cell]
Se: 0.246 0.000 0.758 [2 per cell]

Values from the calculation:
Formation energy without anion corrections (kcal/mol of atoms): -38.461
D(E_F) (states/eV per cell): 0.00


19.
Computed, not measured: a geometry-optimized LiPrHoSe3 structure at the PBE level of DFT.

abc: 8.468 4.033 8.871
angles: 90.00 103.24 90.00
Space group P2_1/m (No. 11)
Unique sites:
Li: 0.086 0.250 0.085 [2 per cell]
Pr: 0.191 0.250 0.727 [2 per cell]
Ho: 0.333 0.750 0.338 [2 per cell]
Se: 0.097 0.250 0.370 [2 per cell]
Se: 0.222 0.750 0.003 [2 per cell]
Se: 0.435 0.750 0.673 [2 per cell]

Values from the calculation:
Formation energy without anion corrections (kcal/mol of atoms): -38.546
D(E_F) (states/eV per cell): 4.05


20.
Computed, not measured: a geometry-optimized LiPr4Ho3Se8 structure at the PBE level of DFT.

abc: 8.2320 8.2320 20.6936
angles: 90.00 90.00 120.00
Space group R-3m (No. 166, hexagonal axes)
Unique sites:
Li: 0.0000 0.0000 0.0000 [3 per cell]
Pr: 0.0000 0.0000 0.5000 [3 per cell]
Pr: 0.0000 0.5000 0.5000 [9 per cell]
Ho: 0.0000 0.5000 0.0000 [9 per cell]
Se: 0.0000 0.0000 0.2562 [6 per cell]
Se: 0.0054 0.5027 0.7425 [18 per cell]

Values from the calculation:
Formation energy without anion corrections (kcal/mol of atoms): -40.934
D(E_F) (states/eV per cell): 23.98